Record 1
The following is a meta-GGA SCAN calculation of ReMoAu2 at its PBEsol-relaxed geometry, from Alexandria via LeMat-Bulk.

The structure in POSCAR format:
```
ReMoAu2
1.0
-3.5555 1.0094 -1.4868
-1.7062 -2.9311 2.0901
2.0745 3.4275 2.7034
Au Mo Re
2 1 1
Cartesian
0.0000 0.0000 0.0000
-2.0559 1.7381 0.7591
-2.6308 -0.9608 0.3017
-1.1313 -0.2322 2.5476
```

Results
Its energy of formation is 1.268 eV per formula unit. The calculation puts the energy above the lowest structure with this stoichiometry at 64 meV per atom. As for the space group: I-4m2.


Record 2
The following is a meta-GGA SCAN calculation of Ta3MnZn at its PBEsol-relaxed geometry, from Alexandria via LeMat-Bulk.

The structure in POSCAR format:
```
Ta3MnZn
1.0
-1.8132 2.4144 3.5062
-3.7142 -2.7595 -0.0205
2.0803 -2.8225 3.0194
Zn Mn Ta
1 1 3
Cartesian
0.0000 0.0000 0.0000
-1.7236 -1.5838 3.2525
-1.8571 -1.3797 -0.0103
1.0401 -1.4112 1.5097
-0.9066 1.2072 1.7531
```

Results
Its energy of formation is 6.728 eV per formula unit. As for the space group: Pm-3m.


Record 3
The following is a meta-GGA SCAN calculation of Ca2CoPt at its PBEsol-relaxed geometry, from Alexandria via LeMat-Bulk.

The structure in POSCAR format:
```
Ca2CoPt
1.0
-1.8360 2.9251 -2.1731
0.7971 -2.0520 -3.4356
-3.5224 -2.6764 3.2043
Ca Co Pt
2 1 1
Cartesian
0.0000 0.0000 0.0000
-2.9389 0.3426 -0.8865
-0.5195 0.4365 -2.8043
-1.6224 -2.1459 -1.5178
```

Results
Its energy of formation is -0.838 eV per formula unit. As for the space group: I-4m2.


Record 4
The following is a meta-GGA SCAN calculation of LiVB2O5 at its PBEsol-relaxed geometry, from Alexandria via LeMat-Bulk.

The structure in POSCAR format:
```
LiVB2O5
1.0
7.0953 0.2558 0.2823
0.1468 7.0984 0.2823
-3.0964 -3.1443 7.9893
Li V B O
4 4 8 20
Cartesian
0.3856 5.3149 2.2796
3.4249 2.3219 2.2796
0.7209 1.8881 6.2743
3.7602 -1.1049 6.2743
3.1895 5.9403 3.2295
4.3424 1.7082 7.2241
-0.1966 2.5018 1.3298
0.9563 -1.7303 5.3244
5.1994 5.1747 1.2550
2.8502 5.1598 0.4408
3.5461 3.7061 5.2497
3.5673 1.3569 4.4354
0.5785 2.8530 4.1185
0.5997 0.5039 3.3043
1.2956 -0.9499 8.1132
-1.0535 -0.9648 7.2989
6.4940 4.7966 0.8895
4.9285 5.4892 2.5274
3.1481 4.9947 4.8841
2.2849 5.3550 1.6611
5.0789 2.4276 1.2769
3.8647 3.4401 6.5220
3.5574 2.7534 4.2166
2.9955 2.1828 0.3426
3.7711 0.7948 5.6557
0.8011 3.5434 5.2716
3.3447 0.6665 3.2824
0.3747 3.4152 2.8982
1.1503 2.0271 8.2113
0.5884 1.4566 4.3373
0.2811 0.7699 2.0319
-0.9331 1.7824 7.2770
1.8609 -1.1451 6.8928
0.9977 -0.7847 3.6698
-0.7827 -1.2793 6.0266
-2.3481 -0.5866 7.6645
```

Results
The formation energy without anion corrections is -2557 meV/atom. The calculation puts the energy above the lowest structure with this stoichiometry at 31 meV per atom. As for the space group: C2/c.


Record 5
The following is a meta-GGA SCAN calculation of NaNd3 at its PBEsol-relaxed geometry, from Alexandria via LeMat-Bulk.

The structure in POSCAR format:
```
NaNd3
1.0
5.0622 0.0000 0.0000
0.0000 5.0622 0.0000
0.0000 0.0000 5.0622
Na Nd
1 3
Cartesian
2.5311 2.5311 2.5311
2.5311 0.0000 0.0000
0.0000 2.5311 0.0000
0.0000 0.0000 2.5311
```

Results
Its energy of formation is 1.044 eV per formula unit. As for the space group: Pm-3m.


Record 6
The following is a meta-GGA SCAN calculation of LaFeCo2 at its PBEsol-relaxed geometry, from Alexandria via LeMat-Bulk.

The structure in POSCAR format:
```
LaFeCo2
1.0
-2.2036 0.8487 -1.7654
-1.5618 -2.3837 0.8035
-2.7479 3.5319 5.1369
Co Fe La
2 1 1
Cartesian
-4.4516 3.7387 2.4389
-0.4999 0.6419 0.9326
-1.8827 -0.7675 -0.4810
-3.2567 0.9984 2.0875
```

Results
Its energy of formation is 0.672 eV per formula unit. As for the space group: Pmmm.